La5Zn2Cd2 | PBE | relaxed

POSCAR file:
```
La5Zn2Cd2
1.0
7.9739 0.0000 0.0000
0.0000 7.6349 0.0000
0.0000 -3.8175 9.0585
Zn Cd La
4 4 10
Direct
0.3819 0.1100 0.0000 Zn
0.6181 0.8900 0.0000 Zn
0.8819 0.3900 0.0000 Zn
0.1181 0.6100 0.0000 Zn
0.0000 0.7729 0.5457 Cd
0.5000 0.7271 0.4543 Cd
0.0000 0.2271 0.4543 Cd
0.5000 0.2729 0.5457 Cd
0.1862 0.4428 0.2665 La
0.3138 0.9428 0.2665 La
0.6862 0.3237 0.2665 La
0.6862 0.0572 0.7335 La
0.1862 0.1763 0.7335 La
0.0000 0.0000 0.0000 La
0.3138 0.6763 0.7335 La
0.5000 0.5000 0.0000 La
0.8138 0.5572 0.7335 La
0.8138 0.8237 0.2665 La
```

Values from the calculation:
Calculated volume   551.5 Å³ per cell
Theoretical density   6.32 g/cm³
Symmetry   Cmce
Magnetization   0.000 μB/cell
DOS at the Fermi energy   12.17 states/eV/f.u.
Energy   -3.429 eV/atom
Energy relative to the elements   -205.1 meV per atom